Record 1
10
Lattice="0.000 5.679 5.679 5.679 0.000 5.679 5.679 5.679 0.000" Properties=species:S:1:pos:R:3 comment="Tl2HgSbBr6 | OQMD | PBE | relaxed" energy_ha_per_atom=-0.0916 mass_density_g_cm3=5.489 spacegroup="No. 225" pbc="T T T"
Tl 2.839 2.839 2.839
Tl 8.518 8.518 8.518
Hg 0.000 0.000 0.000
Sb 5.679 5.679 5.679
Br 5.679 5.679 2.889
Br 5.679 2.889 5.679
Br 8.469 5.679 5.679
Br 2.889 5.679 5.679
Br 5.679 8.469 5.679
Br 5.679 5.679 8.469

---

Record 2
5
Lattice="-2.291 2.291 7.047 2.291 -2.291 7.047 2.291 2.291 -7.047" Properties=species:S:1:pos:R:3 comment="Sr2TbW2 | OQMD | PBE | relaxed" energy_ha_per_atom=-0.2053 relative_energy_mev_per_atom=348 mass_density_g_cm3=7.878 spacegroup="No. 139" pbc="T T T"
Sr 2.291 0.000 3.524
Sr 0.000 2.291 3.524
Tb 0.000 0.000 0.000
W 0.000 0.000 5.929
W 0.000 0.000 8.165

---

Record 3
4
Lattice="0.000 3.133 3.133 3.133 0.000 3.133 3.133 3.133 0.000" Properties=species:S:1:pos:R:3 comment="HfTaFeCu | OQMD | PBE | relaxed" energy_ha_per_atom=-0.3129 e_form_mev_per_atom=-56 relative_energy_mev_per_atom=0 mass_density_g_cm3=12.931 spacegroup="No. 216" pbc="T T T"
Hf 0.000 0.000 0.000
Ta 3.133 3.133 3.133
Fe 4.699 4.699 4.699
Cu 1.566 1.566 1.566

---

Record 4
8
Lattice="4.102 0.000 0.000 0.000 6.349 0.000 0.000 0.000 6.234" Properties=species:S:1:pos:R:3 comment="SbPAuO | OQMD | PBE | relaxed" energy_ha_per_atom=-0.1695 relative_energy_mev_per_atom=89 mass_density_g_cm3=7.480 spacegroup="No. 26" pbc="T T T"
Sb 0.000 1.407 0.000
Sb 0.000 4.943 3.117
P 0.000 1.126 2.576
P 0.000 5.224 5.693
Au 2.051 1.909 3.343
Au 2.051 4.441 0.226
O 2.051 1.852 5.973
O 2.051 4.498 2.856

---

Question: Which formula does entry 3 have?
Answer: HfTaFeCu